This record from Alexandria via LeMat-Bulk describes Pm3PrDy2 after structural relaxation. The functional is PBE.

Cell lengths 17.7778, 7.2431, 6.2758 Å; angles 90.00, 90.13, 90.00 degrees
Last column: nearest neighbours and their distance in Å.
Space group C2/c (No. 15)
One atom of each set of equivalent atoms:
Pm 0.0000 0.1241 0.2500 (multiplicity 4)  4 Pr 3.60-3.64, 4 Pm 3.62-3.65, 4 Dy 3.63-3.64
Pm 0.1682 0.3743 0.4157 (multiplicity 8)  4 Pm 3.58-3.65, 6 Dy 3.59-3.63, 2 Pr 3.65-3.66
Pr 0.0000 0.3734 0.7500 (multiplicity 4)  8 Pm 3.60-3.66, 2 Pr 3.63, 2 Dy 3.64
Dy 0.1675 0.1240 0.9175 (multiplicity 8)  8 Pm 3.59-3.64, 3 Dy 3.61-3.62, 1 Pr 3.64

Polymorph energy (0 for the lowest one), meV/atom: 0
ΔH_f (0 K), meV per atom: 16